Computed, not measured: crystalline Li2CoAgF6 at its relaxed geometry at the PBE+U level of DFT.

Unit cell a=5.2706 b=5.2686 c=5.7580 alpha=62.71 beta=62.65 gamma=60.01
Fractional coordinates of all 10 atoms:
1 Li 0.5344 0.5348 0.3954
2 Li 0.0119 0.0120 0.9642
3 Co 0.3260 0.3259 0.0223
4 Ag 0.8092 0.8091 0.5729
5 F 0.5519 0.2697 0.2309
6 F 0.2691 0.9469 0.2312
7 F 0.9467 0.5524 0.2309
8 F 0.3555 0.7060 0.7891
9 F 0.7062 0.1497 0.7894
10 F 0.1507 0.3550 0.7890

Results
SG: P1 (1)
DFT total energy: -4.41 eV/atom
Total magnetic moment: 0.1 μB per cell
Density of states at the Fermi level: 0.000 states/eV/atom